1.
A PBEsol-optimized structure of Sb3IrO. Source: the Alexandria database, functional SCAN.

a = 5.0830 Å, b = 5.0830 Å, c = 5.0830 Å
α = 90.00°, β = 90.00°, γ = 90.00°
Closest atoms and distances in Å follow each position.
Atoms (fractional coordinates):
Ir (0.0000, 0.0000, 0.0000)  6 Sb 2.54
Sb (0.0000, 0.0000, 0.5000)  2 Ir 2.54
Sb (0.0000, 0.5000, 0.0000)  2 Ir 2.54
Sb (0.5000, 0.0000, 0.0000)  2 Ir 2.54
O (0.5000, 0.5000, 0.5000)  12 Sb 3.59

## Properties
- E_form (uncorrected) (eV/atom) = 0.874
- volume (A^3/atom) = 26.27
- density of states at the Fermi level (states/eV/cell) = 5.45
- calculated density (g/cm³) = 7.25

2.
A PBEsol-optimized structure of SbIr2O. Source: the Alexandria database, functional SCAN.

a = 4.6615 Å, b = 4.6615 Å, c = 7.1042 Å
α = 109.15°, β = 109.15°, γ = 90.00°
Closest atoms and distances in Å follow each position.
Atoms (fractional coordinates):
Ir (0.1250, 0.2609, 0.7500)  2 O 2.03
Sb (0.0000, 0.0000, 0.0000)  4 Ir 2.66
Sb (0.2500, 0.7500, 0.5000)  4 Ir 2.66
O (0.5000, 0.5000, 0.0000)  4 Ir 2.03
O (0.7500, 0.2500, 0.5000)  4 Ir 2.03
Ir (0.5109, 0.8750, 0.2500)  2 O 2.03
Ir (0.6250, 0.4891, 0.7500)  2 O 2.03
Ir (0.7391, 0.3750, 0.2500)  2 O 2.03

## Properties
- E_form (uncorrected) (eV/atom) = 0.022
- volume (A^3/atom) = 17.09
- density of states at the Fermi level (states/eV/cell) = 2.48
- calculated density (g/cm³) = 12.68

3.
A PBEsol-optimized structure of SbIr3O. Source: the Alexandria database, functional SCAN.

a = 4.2041 Å, b = 4.2041 Å, c = 4.2041 Å
α = 90.00°, β = 90.00°, γ = 90.00°
Closest atoms and distances in Å follow each position.
Atoms (fractional coordinates):
Sb (0.5000, 0.5000, 0.5000)  12 Ir 2.97
Ir (0.5000, 0.0000, 0.0000)  2 O 2.10
Ir (0.0000, 0.5000, 0.0000)  2 O 2.10
O (0.0000, 0.0000, 0.0000)  6 Ir 2.10
Ir (0.0000, 0.0000, 0.5000)  2 O 2.10

## Properties
- E_form (uncorrected) (eV/atom) = 1.006
- volume (A^3/atom) = 14.86
- density of states at the Fermi level (states/eV/cell) = 6.88
- calculated density (g/cm³) = 15.97

4.
A PBEsol-optimized structure of IrSe2O2. Source: the Alexandria database, functional SCAN.

a = 2.6514 Å, b = 7.2051 Å, c = 7.2051 Å
α = 90.00°, β = 90.00°, γ = 90.00°
Closest atoms and distances in Å follow each position.
Atoms (fractional coordinates):
Se (0.5000, 0.2504, 0.2496)  2 O 1.93
O (0.0000, 0.1128, 0.3872)  2 Se 1.93
Se (0.5000, 0.7496, 0.7504)  2 O 1.93
O (0.0000, 0.6128, 0.1128)  2 Se 1.93
O (0.0000, 0.8872, 0.6128)  2 Se 1.93
Ir (0.0000, 0.0000, 0.0000)  2 Ir 2.65, 8 Se 2.87, 4 O 2.91
Ir (0.0000, 0.5000, 0.5000)  2 Ir 2.65, 8 Se 2.87, 4 O 2.91
O (0.0000, 0.3872, 0.8872)  2 Se 1.93
Se (0.5000, 0.7504, 0.2504)  2 O 1.93
Se (0.5000, 0.2496, 0.7496)  2 O 1.93

## Properties
- E_form (uncorrected) (eV/atom) = 0.611
- volume (A^3/atom) = 13.76
- density of states at the Fermi level (states/eV/cell) = 4.86
- calculated density (g/cm³) = 9.22

5.
A PBEsol-optimized structure of SrIrSe2O. Source: the Alexandria database, functional SCAN.

a = 4.5381 Å, b = 4.4899 Å, c = 4.4899 Å
α = 90.00°, β = 90.00°, γ = 90.00°
Closest atoms and distances in Å follow each position.
Atoms (fractional coordinates):
O (0.0000, 0.0000, 0.0000)  4 Se 2.24, 2 Sr 2.27
Sr (0.5000, 0.0000, 0.0000)  2 O 2.27
Ir (0.5000, 0.5000, 0.5000)  4 Sr 3.17, 8 Se 3.19
Se (0.0000, 0.0000, 0.5000)  2 O 2.24
Se (0.0000, 0.5000, 0.0000)  2 O 2.24

## Properties
- E_form (uncorrected) (eV/atom) = 0.061
- volume (A^3/atom) = 18.30
- density of states at the Fermi level (states/eV/cell) = 2.84
- calculated density (g/cm³) = 8.24

6.
A PBEsol-optimized structure of SiIrO2. Source: the Alexandria database, functional SCAN.

a = 2.6172 Å, b = 2.6172 Å, c = 9.4498 Å
α = 82.04°, β = 82.04°, γ = 60.00°
Closest atoms and distances in Å follow each position.
Atoms (fractional coordinates):
Ir (0.0000, 0.0000, 0.0000)  6 Ir 2.62
O (0.8666, 0.8666, 0.4003)  3 Si 1.77
O (0.1334, 0.1334, 0.5997)  3 Si 1.77
Si (0.5000, 0.5000, 0.5000)  6 O 1.77

## Properties
- E_form (uncorrected) (eV/atom) = -1.560
- volume (A^3/atom) = 13.83
- density of states at the Fermi level (states/eV/cell) = 1.51
- calculated density (g/cm³) = 7.57

7.
A PBEsol-optimized structure of SiIrO3. Source: the Alexandria database, functional SCAN.

a = 3.8834 Å, b = 3.8834 Å, c = 3.8834 Å
α = 90.00°, β = 90.00°, γ = 90.00°
Closest atoms and distances in Å follow each position.
Atoms (fractional coordinates):
O (0.0000, 0.5000, 0.0000)  2 Ir 1.94
Si (0.5000, 0.5000, 0.5000)  12 O 2.75
O (0.0000, 0.0000, 0.5000)  2 Ir 1.94
Ir (0.0000, 0.0000, 0.0000)  6 O 1.94
O (0.5000, 0.0000, 0.0000)  2 Ir 1.94

## Properties
- E_form (uncorrected) (eV/atom) = -0.128
- volume (A^3/atom) = 11.71
- density of states at the Fermi level (states/eV/cell) = 4.43
- calculated density (g/cm³) = 7.61

8.
A PBEsol-optimized structure of SrIrO3. Source: the Alexandria database, functional SCAN.

a = 5.4502 Å, b = 5.4502 Å, c = 14.3496 Å
α = 90.00°, β = 90.00°, γ = 118.13°
Closest atoms and distances in Å follow each position.
Atoms (fractional coordinates):
Ir (0.0000, 0.0000, 0.0000)  6 O 1.98-1.99
O (0.4888, 0.5112, 0.2500)  2 Ir 1.98
Ir (0.6609, 0.3391, 0.6520)  6 O 1.98-2.07
O (0.2009, 0.2784, 0.4015)  2 Ir 1.98-2.01
O (0.2009, 0.2784, 0.0985)  2 Ir 1.98-2.01
Sr (0.6781, 0.3219, 0.1093)  6 O 2.45-2.69
O (0.7972, 0.2028, 0.5425)  2 Ir 1.99-2.02
O (0.7972, 0.2028, 0.9575)  2 Ir 1.99-2.02
O (0.2784, 0.2009, 0.5985)  2 Ir 1.98-2.01
Sr (0.9913, 0.0087, 0.7500)  10 O 2.59-2.83
O (0.4831, 0.9765, 0.2500)  2 Ir 2.07
Ir (0.0000, 0.0000, 0.5000)  6 O 1.98-1.99
O (0.0235, 0.5169, 0.2500)  2 Ir 2.07
O (0.5169, 0.0235, 0.7500)  2 Ir 2.07
Ir (0.3391, 0.6609, 0.3480)  6 O 1.98-2.07
Sr (0.3219, 0.6781, 0.8907)  6 O 2.45-2.69
O (0.7991, 0.7216, 0.9015)  2 Ir 1.98-2.01
O (0.2028, 0.7972, 0.0425)  2 Ir 1.99-2.02
O (0.2028, 0.7972, 0.4575)  2 Ir 1.99-2.02
Sr (0.3219, 0.6781, 0.6093)  6 O 2.45-2.69
O (0.7216, 0.7991, 0.0985)  2 Ir 1.98-2.01
Ir (0.3391, 0.6609, 0.1520)  6 O 1.98-2.07
O (0.9765, 0.4831, 0.7500)  2 Ir 2.07
O (0.7216, 0.7991, 0.4015)  2 Ir 1.98-2.01
O (0.2784, 0.2009, 0.9015)  2 Ir 1.98-2.01
Sr (0.0087, 0.9913, 0.2500)  10 O 2.59-2.83
Sr (0.6781, 0.3219, 0.3907)  6 O 2.45-2.69
O (0.5112, 0.4888, 0.7500)  2 Ir 1.98
Ir (0.6609, 0.3391, 0.8480)  6 O 1.98-2.07
O (0.7991, 0.7216, 0.5985)  2 Ir 1.98-2.01

## Properties
- E_form (uncorrected) (eV/atom) = -1.793
- volume (A^3/atom) = 12.53
- density of states at the Fermi level (states/eV/cell) = 14.48
- calculated density (g/cm³) = 8.69

9.
A PBEsol-optimized structure of Sr2IrO4. Source: the Alexandria database, functional SCAN.

a = 5.4477 Å, b = 5.4477 Å, c = 13.5051 Å
α = 101.64°, β = 101.64°, γ = 90.00°
Closest atoms and distances in Å follow each position.
Atoms (fractional coordinates):
Ir (0.7500, 0.2500, 0.5000)  6 O 1.98-2.06
O (0.6702, 0.1702, 0.3405)  1 Ir 2.06
Sr (0.3250, 0.3250, 0.6499)  3 O 2.43-2.47
Ir (0.5000, 0.5000, 0.0000)  6 O 1.98-2.06
O (0.4397, 0.0603, 0.5000)  2 Ir 1.98
O (0.8298, 0.3298, 0.6595)  1 Ir 2.06
Ir (0.2500, 0.7500, 0.5000)  6 O 1.98-2.06
O (0.5603, 0.5603, 0.5000)  2 Ir 1.98
O (0.8103, 0.6897, 0.0000)  2 Ir 1.98
O (0.3103, 0.8103, 0.0000)  2 Ir 1.98
Sr (0.4250, 0.9250, 0.8501)  3 O 2.43-2.47
Sr (0.5750, 0.0750, 0.1499)  3 O 2.43-2.47
O (0.9397, 0.9397, 0.5000)  2 Ir 1.98
Sr (0.8250, 0.8250, 0.6499)  3 O 2.43-2.47
Ir (0.0000, 0.0000, 0.0000)  6 O 1.98-2.06
O (0.9202, 0.9202, 0.8405)  1 Ir 2.06
O (0.6897, 0.1897, 0.0000)  2 Ir 1.98
Sr (0.9250, 0.4250, 0.8501)  3 O 2.43-2.47
O (0.0798, 0.0798, 0.1595)  1 Ir 2.06
O (0.0603, 0.4397, 0.5000)  2 Ir 1.98
O (0.3298, 0.8298, 0.6595)  1 Ir 2.06
O (0.4202, 0.4202, 0.8405)  1 Ir 2.06
Sr (0.1750, 0.1750, 0.3501)  3 O 2.43-2.47
Sr (0.6750, 0.6750, 0.3501)  3 O 2.43-2.47
O (0.1702, 0.6702, 0.3405)  1 Ir 2.06
O (0.5798, 0.5798, 0.1595)  1 Ir 2.06
Sr (0.0750, 0.5750, 0.1499)  3 O 2.43-2.47
O (0.1897, 0.3103, 0.0000)  2 Ir 1.98

## Properties
- E_form (uncorrected) (eV/atom) = -2.194
- volume (A^3/atom) = 13.72
- density of states at the Fermi level (states/eV/cell) = 13.15
- calculated density (g/cm³) = 7.46

10.
A PBEsol-optimized structure of Sr2IrO4. Source: the Alexandria database, functional SCAN.

a = 3.9060 Å, b = 3.9060 Å, c = 6.8646 Å
α = 106.53°, β = 106.53°, γ = 90.00°
Closest atoms and distances in Å follow each position.
Atoms (fractional coordinates):
Sr (0.6459, 0.6459, 0.2919)  5 O 2.40-2.68
O (0.8369, 0.8369, 0.6737)  1 Ir 2.05
O (0.0000, 0.5000, 0.0000)  2 Ir 1.95
Ir (0.0000, 0.0000, 0.0000)  6 O 1.95-2.05
Sr (0.3541, 0.3541, 0.7081)  5 O 2.40-2.68
O (0.5000, 0.0000, 0.0000)  2 Ir 1.95
O (0.1631, 0.1631, 0.3263)  1 Ir 2.05

## Properties
- E_form (uncorrected) (eV/atom) = -2.175
- volume (A^3/atom) = 13.70
- density of states at the Fermi level (states/eV/cell) = 2.35
- calculated density (g/cm³) = 7.47